# KHoW2O8

An optimized crystal structure of KHoW2O8 (GGA+U, Alexandria via LeMat-Bulk).

a = 7.6470 Å, b = 7.6470 Å, c = 7.4482 Å
α = 117.97°, β = 117.97°, γ = 87.87°
Element x y z (fractional)
K (0.2103, 0.7897, 0.7500)
K (0.7897, 0.2103, 0.2500)
Ho (0.2240, 0.7760, 0.2500)
Ho (0.7760, 0.2240, 0.7500)
W (0.2990, 0.3078, 0.2865)
W (0.3078, 0.2990, 0.7865)
W (0.6922, 0.7010, 0.2135)
W (0.7010, 0.6922, 0.7135)
O (0.0391, 0.2316, 0.6914)
O (0.0542, 0.3589, 0.1200)
O (0.2316, 0.0391, 0.1914)
O (0.2468, 0.3762, 0.5571)
O (0.3589, 0.0542, 0.6200)
O (0.3732, 0.5956, 0.0368)
O (0.3762, 0.2468, 0.0571)
O (0.4044, 0.6268, 0.4632)
O (0.5956, 0.3732, 0.5368)
O (0.6238, 0.7532, 0.9429)
O (0.6268, 0.4044, 0.9632)
O (0.6411, 0.9458, 0.3800)
O (0.7532, 0.6238, 0.4429)
O (0.7684, 0.9609, 0.8086)
O (0.9458, 0.6411, 0.8800)
O (0.9609, 0.7684, 0.3086)

Properties
Crystal system: monoclinic
Uncorrected energy, eV per atom: -7.42